[1]
Compound: BeFe3
Source: the Alexandria database
Functional: PBE-GGA
Structure: optimized geometry

DOS(E_F) ... 0.588 states/eV per atom
Total moment ... 26.4 μB per cell
Total energy ... -7.263 eV per atom

Unit cell a=5.572 b=6.900 c=4.419 alpha=90.00 beta=90.00 gamma=90.00
Element x y z (fractional)
Be 0.111 0.250 0.082
Be 0.389 0.750 0.582
Be 0.611 0.250 0.418
Be 0.889 0.750 0.918
Fe 0.015 0.750 0.395
Fe 0.186 0.550 0.866
Fe 0.186 0.950 0.866
Fe 0.314 0.050 0.366
Fe 0.314 0.450 0.366
Fe 0.485 0.250 0.895
Fe 0.515 0.750 0.105
Fe 0.686 0.550 0.634
Fe 0.686 0.950 0.634
Fe 0.814 0.050 0.134
Fe 0.814 0.450 0.134
Fe 0.985 0.250 0.605



[2]
Compound: Be3Fe13
Source: the Alexandria database
Functional: PBE-GGA
Structure: optimized geometry

DOS(E_F) ... 0.965 states/eV per atom
Total moment ... 28.0 μB per cell
Total energy ... -7.586 eV per atom

Unit cell a=5.619 b=5.540 c=5.540 alpha=89.35 beta=90.00 gamma=90.00
Element x y z (fractional)
Be 0.000 0.000 0.000
Be 0.246 0.242 0.242
Be 0.754 0.242 0.242
Fe 0.000 0.001 0.485
Fe 0.000 0.485 0.001
Fe 0.000 0.487 0.487
Fe 0.246 0.748 0.748
Fe 0.247 0.242 0.748
Fe 0.247 0.748 0.242
Fe 0.500 0.001 0.001
Fe 0.500 0.003 0.485
Fe 0.500 0.485 0.003
Fe 0.500 0.490 0.490
Fe 0.753 0.242 0.748
Fe 0.753 0.748 0.242
Fe 0.754 0.748 0.748



> The lowest total energy belongs to which entry?

Be3Fe13



> What is the formula in the second record?

Be3Fe13



> total moment of number 2 (Be3Fe13)?

28.0 μB per cell



> The highest total energy belongs to which entry?

BeFe3